# 1
A relaxed structure of LiP3Pt12Pb2, computed with GGA-PBE.

It has space group R-3m (No. 166, hexagonal axes), with a = 8.1377 Å, b = 8.1377 Å, c = 17.5808 Å, α = 90.00°, β = 90.00° and γ = 120.00°. The inequivalent atoms are Li at (0.0000, 0.0000, 0.0000), P at (0.0000, 0.5000, 0.5000), Pt at (0.0030, 0.5015, 0.3708), Pt at (0.0225, 0.5113, 0.8681) and Pb at (0.0000, 0.0000, 0.3858).

For the formation energy from the elements, the calculation gives -0.220 eV per atom. The calculation puts the final energy at -5.667 eV/atom.

# 2
A relaxed structure of LiP2PtPb, computed with GGA-PBE.

It has space group P4/mmm (No. 123), with a = 5.270 Å, b = 5.270 Å, c = 5.126 Å, α = 90.00°, β = 90.00° and γ = 90.00°. The inequivalent atoms are Li at (0.000, 0.000, 0.000), P at (0.000, 0.500, 0.500), Pt at (0.500, 0.500, 0.000) and Pb at (0.500, 0.500, 0.500).

For the formation energy from the elements, the calculation gives 1.015 eV per atom. The calculation puts the final energy at -3.482 eV/atom.

# 3
A relaxed structure of Li2PPbS4, computed with GGA-PBE.

It has space group I-42m (No. 121), with a = 6.255 Å, b = 6.255 Å, c = 9.134 Å, α = 90.00°, β = 90.00° and γ = 90.00°. The inequivalent atoms are Li at (0.000, 0.500, 0.250), P at (0.000, 0.000, 0.000), Pb at (0.000, 0.000, 0.500) and S at (0.199, 0.199, 0.873).

The value obtained for the formation energy from raw total energies is -0.629 eV per atom. The calculation puts the final energy at -4.311 eV/atom.

# 4
A relaxed structure of LiPPbS4, computed with GGA-PBE.

It has space group P2_1/m (No. 11), with a = 6.842 Å, b = 6.510 Å, c = 7.987 Å, α = 90.00°, β = 110.41° and γ = 90.00°. The inequivalent atoms are Li at (0.207, 0.250, 0.474), P at (0.261, 0.750, 0.688), Pb at (0.262, 0.250, 0.939), S at (0.076, 0.750, 0.840), S at (0.103, 0.750, 0.422) and S at (0.464, 0.000, 0.749).

The value obtained for the formation energy from raw total energies is -0.557 eV per atom. The calculation puts the final energy at -4.491 eV/atom.

# 5
A relaxed structure of LiP2PbS, computed with GGA-PBE.

It has space group P4/mmm (No. 123), with a = 5.311 Å, b = 5.311 Å, c = 5.382 Å, α = 90.00°, β = 90.00° and γ = 90.00°. The inequivalent atoms are Li at (0.000, 0.000, 0.000), P at (0.000, 0.500, 0.500), Pb at (0.500, 0.500, 0.500) and S at (0.500, 0.500, 0.000).

The value obtained for the formation energy from raw total energies is 0.828 eV per atom. The calculation puts the final energy at -3.286 eV/atom. For the polymorph energy (0 for the lowest one), the calculation gives 0.295 eV/atom.

# 6
A relaxed structure of LiP2Pb2S6, computed with GGA-PBE.

It has space group C2/m (No. 12), with a = 11.908 Å, b = 6.642 Å, c = 8.461 Å, α = 90.00°, β = 128.17° and γ = 90.00°. The inequivalent atoms are Li at (0.000, 0.000, 0.000), P at (0.082, 0.500, 0.848), Pb at (0.241, 0.000, 0.703), S at (0.054, 0.253, 0.267) and S at (0.209, 0.500, 0.766).

The value obtained for the formation energy from raw total energies is -0.411 eV per atom. The calculation puts the final energy at -4.494 eV/atom.

# 7
A relaxed structure of LiP2PbS6, computed with GGA-PBE.

It has space group C2/c (No. 15), with a = 12.972 Å, b = 11.295 Å, c = 7.469 Å, α = 90.00°, β = 116.10° and γ = 90.00°. The inequivalent atoms are Li at (0.000, 0.244, 0.250), P at (0.211, 0.072, 0.679), Pb at (0.000, 0.359, 0.750), S at (0.111, 0.425, 0.182), S at (0.149, 0.238, 0.597) and S at (0.152, 0.049, 0.955).

The value obtained for the formation energy from raw total energies is -0.347 eV per atom. The calculation puts the final energy at -4.468 eV/atom.

# 8
A relaxed structure of LiP2PbS, computed with GGA-PBE.

It has space group P4/mmm (No. 123), with a = 4.551 Å, b = 4.551 Å, c = 5.682 Å, α = 90.00°, β = 90.00° and γ = 90.00°. The inequivalent atoms are Li at (0.000, 0.000, 0.000), P at (0.000, 0.500, 0.000), Pb at (0.500, 0.500, 0.500) and S at (0.000, 0.000, 0.500).

The value obtained for the formation energy from raw total energies is 0.532 eV per atom. The calculation puts the final energy at -3.582 eV/atom. For the polymorph energy (0 for the lowest one), the calculation gives 0.000 eV/atom.

# 9
A relaxed structure of LiSbPPb2, computed with GGA-PBE.

It has space group P4/mmm (No. 123), with a = 5.414 Å, b = 5.414 Å, c = 5.445 Å, α = 90.00°, β = 90.00° and γ = 90.00°. The inequivalent atoms are Li at (0.000, 0.000, 0.000), Sb at (0.500, 0.500, 0.000), P at (0.500, 0.500, 0.500) and Pb at (0.000, 0.500, 0.500).

The value obtained for the formation energy from raw total energies is 0.336 eV per atom. The calculation puts the final energy at -3.436 eV/atom.

# 10
A relaxed structure of Li2ScPPb, computed with GGA-PBE.

It has space group P4/mmm (No. 123), with a = 4.613 Å, b = 4.613 Å, c = 5.040 Å, α = 90.00°, β = 90.00° and γ = 90.00°. The inequivalent atoms are Li at (0.000, 0.500, 0.000), Sc at (0.000, 0.000, 0.500), P at (0.000, 0.000, 0.000) and Pb at (0.500, 0.500, 0.500).

For the formation energy from the elements, the calculation gives -0.498 eV per atom. The calculation puts the final energy at -4.354 eV/atom.

# 11
A relaxed structure of Li2PPbSe4, computed with GGA-PBE.

It has space group Imma (No. 74), with a = 7.740 Å, b = 8.005 Å, c = 11.247 Å, α = 90.00°, β = 90.00° and γ = 90.00°. The inequivalent atoms are Li at (0.000, 0.000, 0.000), Li at (0.250, 0.250, 0.250), P at (0.250, 0.250, 0.750), Pb at (0.000, 0.000, 0.500), Se at (0.000, 0.021, 0.761) and Se at (0.225, 0.250, 0.987).

The value obtained for the formation energy from raw total energies is -0.480 eV per atom. The calculation puts the final energy at -3.841 eV/atom.

# 12
A relaxed structure of LiSm2PPb, computed with GGA-PBE.

It has space group P2_1/m (No. 11), with a = 7.703 Å, b = 4.153 Å, c = 8.487 Å, α = 90.00°, β = 107.06° and γ = 90.00°. The inequivalent atoms are Li at (0.047, 0.250, 0.153), Sm at (0.265, 0.750, 0.520), Sm at (0.372, 0.750, 0.111), P at (0.352, 0.250, 0.327) and Pb at (0.180, 0.250, 0.795).

For the formation energy from the elements, the calculation gives -0.836 eV per atom. The calculation puts the final energy at -4.930 eV/atom.